An optimized crystal structure of PmY2Tl2, computed with PBE-GGA.

Lattice parameters (Å, degrees): 3.817 5.450 14.208 90.00 97.74 90.00
Atoms (fractional coordinates):
Pm1 0.853 0.750 0.704
Pm2 0.147 0.250 0.296
Y1 0.050 0.750 0.100
Y2 0.950 0.250 0.900
Y3 0.237 0.750 0.474
Y4 0.763 0.250 0.526
Tl1 0.645 0.750 0.290
Tl2 0.355 0.250 0.710
Tl3 0.453 0.750 0.907
Tl4 0.547 0.250 0.093

Values from the calculation:
**Magnetization**: 0.00 μB per formula unit
**Total DFT energy (no corrections)**: -47.9 eV per cell
**ΔH_f (0 K)**: -0.305 eV/atom
**Symmetry**: No. 11
**ΔE to the lowest computed polymorph**: 0 meV per atom